Record 1
VASP calculation (PBE-GGA) on LaZn2GeRh after structural relaxation.

Unit cell a=4.7761 b=4.7761 c=4.7252 alpha=90.00 beta=90.00 gamma=90.00
Last column: nearest neighbours and their distance in Å.
Fractional coordinates of all 5 atoms:
La (0.0000, 0.0000, 0.0000)  8 Zn 3.36, 4 Ge 3.38
Zn (0.0000, 0.5000, 0.5000)  2 Rh 2.39
Zn (0.5000, 0.0000, 0.5000)  2 Rh 2.39
Ge (0.5000, 0.5000, 0.0000)  2 Rh 2.36
Rh (0.5000, 0.5000, 0.5000)  2 Ge 2.36, 4 Zn 2.39

Values from the calculation:
crystal system = tetragonal
distance to the lowest polymorph of the same formula = 10.52 kJ per mole of atoms
space-group type = P4/mmm (123)
energy relative to the elements = -9.70 kcal/mol of atoms
VASP energy = -21.55 eV per cell

Record 2
VASP calculation (PBE-GGA) on LaZnGe2Rh after structural relaxation.

Unit cell a=6.1748 b=6.1748 c=6.1748 alpha=140.03 beta=140.03 gamma=57.81
Last column: nearest neighbours and their distance in Å.
Fractional coordinates of all 5 atoms:
La (0.0000, 0.0000, 0.0000)  8 Ge 3.25, 4 Rh 3.43, 4 Zn 3.43
Zn (0.2500, 0.7500, 0.5000)  4 Ge 2.54
Ge (0.3803, 0.3803, 0.0000)  2 Rh 2.54, 2 Zn 2.54, 1 Ge 2.59
Ge (0.6197, 0.6197, 0.0000)  2 Rh 2.54, 2 Zn 2.54, 1 Ge 2.59
Rh (0.7500, 0.2500, 0.5000)  4 Ge 2.54

Values from the calculation:
crystal system = tetragonal
space-group type = I-4m2 (119)
energy relative to the elements = -15.75 kcal/mol of atoms
VASP energy = -26.20 eV per cell

Record 3
VASP calculation (PBE-GGA) on LaZn2GeRh after structural relaxation.

Unit cell a=6.2146 b=6.2146 c=6.2146 alpha=140.93 beta=139.95 gamma=57.19
Last column: nearest neighbours and their distance in Å.
Fractional coordinates of all 5 atoms:
La (0.0000, 0.0000, 0.0000)  4 Ge 3.22, 8 Zn 3.27-3.49, 4 Rh 3.38-3.51
Zn (0.6236, 0.6236, 0.0000)  2 Zn 2.52, 1 Ge 2.59, 2 Rh 2.59
Zn (0.7534, 0.2534, 0.5000)  2 Zn 2.52, 2 Ge 2.58
Ge (0.3864, 0.3864, 0.0000)  2 Rh 2.50, 3 Zn 2.58-2.59
Rh (0.2592, 0.7592, 0.5000)  2 Ge 2.50, 2 Zn 2.59

Values from the calculation:
crystal system = orthorhombic
distance to the lowest polymorph of the same formula = 0.00 kJ per mole of atoms
space-group type = Imm2 (44)
energy relative to the elements = -12.21 kcal/mol of atoms
VASP energy = -22.09 eV per cell

Q: Look up the VASP energy of the second one.
A: -26.20 eV per cell